## LiTaSe3 (PBE)

Data for crystalline LiTaSe3 at its relaxed geometry.

```
data_LiTaSe3
_cell_length_a 3.9875
_cell_length_b 9.0845
_cell_length_c 10.7338
_cell_angle_alpha 90.00
_cell_angle_beta 90.00
_cell_angle_gamma 90.00
_space_group_name_H-M_alt 'A m m 2'
_space_group_IT_number 38
loop_
_space_group_symop_operation_xyz
'x,y,z'
'-x,-y,z'
'-x,y,z'
'x,-y,z'
'x,y+1/2,z+1/2'
'-x,-y+1/2,z+1/2'
'-x,y+1/2,z+1/2'
'x,-y+1/2,z+1/2'
loop_
_atom_site_label
_atom_site_fract_x
_atom_site_fract_y
_atom_site_fract_z
Li1 0.0000 0.0000 0.0000
Ta1 0.5000 0.0000 0.7816
Se1 0.0000 0.0000 0.6424
Se2 0.5000 0.2029 0.9189
```

As for the formation energy without anion corrections: -0.6619 eV per atom. For the total energy, the calculation gives -5.51 eV per atom. The value obtained for the energy above the most stable polymorph in this dataset is 209.3 meV per atom.


## Li2TaSe3 (PBE)

Data for crystalline Li2TaSe3 at its relaxed geometry.

```
data_Li2TaSe3
_cell_length_a 7.8776
_cell_length_b 10.6849
_cell_length_c 22.3078
_cell_angle_alpha 90.00
_cell_angle_beta 90.00
_cell_angle_gamma 90.00
_space_group_name_H-M_alt 'F d d d'
_space_group_IT_number 70
loop_
_space_group_symop_operation_xyz
'x,y,z'
'-x,-y,-z'
'-x+1/4,-y+1/4,z'
'x+1/4,y+1/4,-z'
'x,-y+1/4,-z+1/4'
'-x,y+1/4,z+1/4'
'-x+1/4,y,-z+1/4'
'x+1/4,-y,z+1/4'
'x,y+1/2,z+1/2'
'-x,-y+1/2,-z+1/2'
'-x+1/4,-y+3/4,z+1/2'
'x+1/4,y+3/4,-z+1/2'
'x,-y+3/4,-z+3/4'
'-x,y+3/4,z+3/4'
'-x+1/4,y+1/2,-z+3/4'
'x+1/4,-y+1/2,z+3/4'
'x+1/2,y,z+1/2'
'-x+1/2,-y,-z+1/2'
'-x+3/4,-y+1/4,z+1/2'
'x+3/4,y+1/4,-z+1/2'
'x+1/2,-y+1/4,-z+3/4'
'-x+1/2,y+1/4,z+3/4'
'-x+3/4,y,-z+3/4'
'x+3/4,-y,z+3/4'
'x+1/2,y+1/2,z'
'-x+1/2,-y+1/2,-z'
'-x+3/4,-y+3/4,z'
'x+3/4,y+3/4,-z'
'x+1/2,-y+3/4,-z+1/4'
'-x+1/2,y+3/4,z+1/4'
'-x+3/4,y+1/2,-z+1/4'
'x+3/4,-y+1/2,z+1/4'
loop_
_atom_site_label
_atom_site_fract_x
_atom_site_fract_y
_atom_site_fract_z
Li1 0.1250 0.1250 0.0348
Li2 0.1250 0.1250 0.3772
Ta1 0.1250 0.1250 0.5567
Se1 0.1152 0.3632 0.7125
Se2 0.1156 0.3750 0.3750
```

As for the formation energy without anion corrections: -0.9632 eV per atom. For the total energy, the calculation gives -5.32 eV per atom.


## LiTaSe2 (PBE)

Data for crystalline LiTaSe2 at its relaxed geometry.

```
data_LiTaSe2
_cell_length_a 3.4812
_cell_length_b 3.4812
_cell_length_c 6.8514
_cell_angle_alpha 90.00
_cell_angle_beta 90.00
_cell_angle_gamma 90.00
_space_group_name_H-M_alt 'P 4 m m'
_space_group_IT_number 99
loop_
_space_group_symop_operation_xyz
'x,y,z'
'-y,x,z'
'-x,-y,z'
'y,-x,z'
'-x,y,z'
'y,x,z'
'x,-y,z'
'-y,-x,z'
loop_
_atom_site_label
_atom_site_fract_x
_atom_site_fract_y
_atom_site_fract_z
Li1 0.0000 0.0000 0.0000
Ta1 0.5000 0.5000 0.7088
Se1 0.0000 0.0000 0.5498
Se2 0.5000 0.5000 0.0642
```

As for the formation energy without anion corrections: -0.5551 eV per atom. For the total energy, the calculation gives -5.74 eV per atom.


## LiTaSe3 (PBE)

Data for crystalline LiTaSe3 at its relaxed geometry.

```
data_LiTaSe3
_cell_length_a 7.6859
_cell_length_b 15.5284
_cell_length_c 7.8814
_cell_angle_alpha 90.00
_cell_angle_beta 90.00
_cell_angle_gamma 90.00
_space_group_name_H-M_alt 'C m c m'
_space_group_IT_number 63
_space_group_name_Hall '-C 2c 2'
loop_
_atom_site_label
_atom_site_fract_x
_atom_site_fract_y
_atom_site_fract_z
Li1 0.0000 0.2143 0.2500
Ta1 0.0000 0.4069 0.2500
Se1 0.0000 0.5000 0.0000
Se2 0.2472 0.3162 0.2500
```

As for the formation energy without anion corrections: -0.6001 eV per atom. For the total energy, the calculation gives -5.44 eV per atom. The value obtained for the energy above the most stable polymorph in this dataset is 271.1 meV per atom.


## LiTaSe3 (PBE)

Data for crystalline LiTaSe3 at its relaxed geometry.

```
data_LiTaSe3
_cell_length_a 6.7875
_cell_length_b 6.7875
_cell_length_c 17.1828
_cell_angle_alpha 90.00
_cell_angle_beta 90.00
_cell_angle_gamma 120.00
_space_group_name_H-M_alt 'R -3 c'
_space_group_IT_number 167
_space_group_name_Hall '-R 3 2"c'
loop_
_atom_site_label
_atom_site_fract_x
_atom_site_fract_y
_atom_site_fract_z
Li1 0.0000 0.0000 0.2500
Ta1 0.0000 0.0000 0.0000
Se1 0.0000 0.3738 0.2500
```

As for the formation energy without anion corrections: -0.7245 eV per atom. For the total energy, the calculation gives -5.57 eV per atom. The value obtained for the energy above the most stable polymorph in this dataset is 146.7 meV per atom.


## LiTaSe3 (PBE)

Data for crystalline LiTaSe3 at its relaxed geometry.

```
data_LiTaSe3
_cell_length_a 6.5255
_cell_length_b 21.9080
_cell_length_c 4.5131
_cell_angle_alpha 90.00
_cell_angle_beta 90.00
_cell_angle_gamma 90.00
_space_group_name_H-M_alt 'C m c m'
_space_group_IT_number 63
_space_group_name_Hall '-C 2c 2'
loop_
_atom_site_label
_atom_site_fract_x
_atom_site_fract_y
_atom_site_fract_z
Li1 0.0000 0.1013 0.2500
Ta1 0.0000 0.2778 0.2500
Se1 0.0000 0.0000 0.0000
Se2 0.2344 0.3102 0.7500
```

As for the formation energy without anion corrections: -0.2339 eV per atom. For the total energy, the calculation gives -5.08 eV per atom. The value obtained for the energy above the most stable polymorph in this dataset is 637.3 meV per atom.


## LiTaSe3 (PBE)

Data for crystalline LiTaSe3 at its relaxed geometry.

```
data_LiTaSe3
_cell_length_a 4.9517
_cell_length_b 4.9517
_cell_length_c 6.5056
_cell_angle_alpha 90.00
_cell_angle_beta 90.00
_cell_angle_gamma 90.00
_space_group_name_H-M_alt 'P 4 m m'
_space_group_IT_number 99
loop_
_space_group_symop_operation_xyz
'x,y,z'
'-y,x,z'
'-x,-y,z'
'y,-x,z'
'-x,y,z'
'y,x,z'
'x,-y,z'
'-y,-x,z'
loop_
_atom_site_label
_atom_site_fract_x
_atom_site_fract_y
_atom_site_fract_z
Li1 0.0000 0.0000 0.0000
Ta1 0.5000 0.5000 0.7694
Se1 0.0000 0.5000 0.8929
Se2 0.5000 0.5000 0.4187
```

As for the formation energy without anion corrections: -0.6556 eV per atom. For the total energy, the calculation gives -5.50 eV per atom. The value obtained for the energy above the most stable polymorph in this dataset is 215.6 meV per atom.


## Li4TaSe (PBE)

Data for crystalline Li4TaSe at its relaxed geometry.

```
data_Li4TaSe
_cell_length_a 7.3310
_cell_length_b 7.3310
_cell_length_c 7.3310
_cell_angle_alpha 90.00
_cell_angle_beta 90.00
_cell_angle_gamma 90.00
_space_group_name_H-M_alt 'F -4 3 m'
_space_group_IT_number 216
_space_group_name_Hall 'F -4 2 3'
loop_
_atom_site_label
_atom_site_fract_x
_atom_site_fract_y
_atom_site_fract_z
Li1 0.1232 0.1232 0.3768
Ta1 0.2500 0.2500 0.7500
Se1 0.0000 0.0000 0.0000
```

As for the formation energy without anion corrections: 0.4012 eV per atom. For the total energy, the calculation gives -3.43 eV per atom.


Please write out number 1 again, unchanged.
## LiTaSe3 (PBE)

Data for crystalline LiTaSe3 at its relaxed geometry.

```
data_LiTaSe3
_cell_length_a 3.9875
_cell_length_b 9.0845
_cell_length_c 10.7338
_cell_angle_alpha 90.00
_cell_angle_beta 90.00
_cell_angle_gamma 90.00
_space_group_name_H-M_alt 'A m m 2'
_space_group_IT_number 38
loop_
_space_group_symop_operation_xyz
'x,y,z'
'-x,-y,z'
'-x,y,z'
'x,-y,z'
'x,y+1/2,z+1/2'
'-x,-y+1/2,z+1/2'
'-x,y+1/2,z+1/2'
'x,-y+1/2,z+1/2'
loop_
_atom_site_label
_atom_site_fract_x
_atom_site_fract_y
_atom_site_fract_z
Li1 0.0000 0.0000 0.0000
Ta1 0.5000 0.0000 0.7816
Se1 0.0000 0.0000 0.6424
Se2 0.5000 0.2029 0.9189
```

As for the formation energy without anion corrections: -0.6619 eV per atom. For the total energy, the calculation gives -5.51 eV per atom. The value obtained for the energy above the most stable polymorph in this dataset is 209.3 meV per atom.


> Look up the formation energy without anion corrections of the first one.

-0.6619 eV per atom